The following is a PBE-GGA calculation of a relaxed structure of Pm4Sm9Zn11, from the Alexandria database.

It has space group Cmmm (No. 65), with a = 15.523 Å, b = 21.666 Å, c = 3.548 Å, α = 90.00°, β = 90.00° and γ = 90.00°. Symmetry generates all atoms from Pm at (0.165, 0.088, 0.000), Sm at (0.000, 0.000, 0.000), Sm at (0.114, 0.409, 0.000), Sm at (0.116, 0.237, 0.000), Zn at (0.000, 0.132, 0.500), Zn at (0.000, 0.324, 0.500), Zn at (0.000, 0.500, 0.500), Zn at (0.220, 0.500, 0.500) and Zn at (0.233, 0.318, 0.500).

The calculated volume comes out at 1193.18 Å³/cell. For the density of states at the Fermi level, the calculation gives 46.97 states/eV/cell. Its total energy is -3.38 eV per atom. The value obtained for the energy of formation is -5.67 eV per formula unit.